The following is a DFT calculation (PBE-GGA) of an optimized crystal structure of AcMgAl.

Output
magnetic moment: 0.00 μB/f.u.
excess energy over the best structure of this formula in the dataset: 156 meV/atom
electronic total energy: -9.69 eV per formula unit

a b c (Å): 5.164 5.164 5.164
angles (deg): 60.00 60.00 60.00
Fractional coordinates of all 3 atoms:
1 Ac 0.000 0.000 0.000
2 Mg 0.500 0.500 0.500
3 Al 0.250 0.250 0.250


The following is a DFT calculation (PBE-GGA) of an optimized crystal structure of K3AcBi2Te6.

Output
magnetic moment: 0.00 μB/f.u.
raw formation energy: -0.91 eV per atom
electronic total energy: -44.90 eV per formula unit

a b c (Å): 8.099 8.099 8.754
angles (deg): 98.90 98.90 120.03
Fractional coordinates of all 12 atoms:
1 K 0.000 0.000 0.000
2 K 0.335 0.665 0.000
3 K 0.665 0.335 0.000
4 Ac 0.500 0.500 0.500
5 Bi 0.167 0.833 0.500
6 Bi 0.833 0.167 0.500
7 Te 0.080 0.428 0.285
8 Te 0.224 0.224 0.716
9 Te 0.428 0.080 0.285
10 Te 0.572 0.920 0.715
11 Te 0.776 0.776 0.284
12 Te 0.920 0.572 0.715


Question: magnetic moment of number 1 (AcMgAl)?
Answer: 0.00 μB/f.u.